Entry 1:
The following is a PBE-GGA calculation of an optimized crystal structure of TbAg2Pt6, from Alexandria.

Volume   20.28 A^3/atom
Energy   -4.866 eV/atom

Cell: 9.004 9.004 9.004 Å, 90.00 90.00 90.00°
Space group Fm-3m (No. 225)
Asymmetric unit:
Tb (0.000, 0.000, 0.000) [4 per cell]
Ag (0.250, 0.250, 0.250) [8 per cell]
Pt (0.000, 0.000, 0.289) [24 per cell]

Entry 2:
The following is a PBE-GGA calculation of an optimized crystal structure of BaSi2Hg, from Alexandria.

Volume   25.70 A^3/atom
Formation energy (no corrections)   29 kJ/mol of formula units

Cell: 3.855 3.855 6.918 Å, 90.00 90.00 90.00°
Space group P4/mmm (No. 123)
Asymmetric unit:
Ba (0.000, 0.000, 0.000) [1 per cell]
Si (0.500, 0.500, 0.331) [2 per cell]
Hg (0.000, 0.000, 0.500) [1 per cell]

Entry 3:
The following is a PBE-GGA calculation of an optimized crystal structure of FeSiHg2, from Alexandria.

Volume   18.81 A^3/atom
Formation energy (no corrections)   247 kJ/mol of formula units

Cell: 5.116 5.116 2.875 Å, 90.00 90.00 90.00°
Space group P4/mmm (No. 123)
Asymmetric unit:
Fe (0.000, 0.000, 0.000) [1 per cell]
Si (0.500, 0.500, 0.000) [1 per cell]
Hg (0.000, 0.500, 0.500) [2 per cell]

Entry 4:
The following is a PBE-GGA calculation of an optimized crystal structure of Cs2Sc2US6, from Alexandria.

Volume   29.24 A^3/atom
Formation energy (no corrections)   -1756 kJ/mol of formula units

Cell: 6.703 11.678 8.526 Å, 90.00 105.48 90.00°
Space group C2/m (No. 12)
Asymmetric unit:
Cs (0.000, 0.167, 0.000) [4 per cell]
Sc (0.000, 0.333, 0.500) [4 per cell]
U (0.000, 0.000, 0.500) [2 per cell]
S (0.217, 0.500, 0.672) [4 per cell]
S (0.228, 0.170, 0.672) [8 per cell]

The highest volume belongs to which entry? Cs2Sc2US6